[1]
Material: Tb2Tm6Sc5
Method: DFT, PBE-GGA
State: relaxed

Cell and atoms, written as POSCAR:
```
Tb2Tm6Sc5
1.0
3.4447 0.0000 0.0000
0.0000 11.2843 0.0000
0.0000 0.0000 19.1853
Tb Tm Sc
4 12 10
direct
0.0000 0.3480 0.2848
0.0000 0.1520 0.7848
0.0000 0.8480 0.2152
0.0000 0.6520 0.7152
0.0000 0.4427 0.5801
0.5000 0.8273 0.3766
0.0000 0.4110 0.8664
0.5000 0.1727 0.6234
0.0000 0.9110 0.6336
0.0000 0.5890 0.1336
0.5000 0.6727 0.8766
0.0000 0.0890 0.3664
0.0000 0.0573 0.0801
0.0000 0.9427 0.9199
0.0000 0.5573 0.4199
0.5000 0.3273 0.1234
0.5000 0.1065 0.2228
0.5000 0.3024 0.4495
0.5000 0.8024 0.0505
0.5000 0.5000 0.0000
0.5000 0.6976 0.5505
0.5000 0.8935 0.7772
0.5000 0.1976 0.9495
0.5000 0.0000 0.5000
0.5000 0.6065 0.2772
0.5000 0.3935 0.7228
```

Computed properties:
DFT formation energy	1.496	eV/f.u.
SG	No. 55
theoretical density	6.93	g cm⁻³

=====

[2]
Material: HfSb2PdCl
Method: DFT, PBE-GGA
State: relaxed

Cell and atoms, written as POSCAR:
```
HfSb2PdCl
1.0
5.5422 0.0000 0.0000
0.0000 4.9516 0.0000
0.0000 0.0000 5.5422
Sb Cl Pd Hf
2 1 1 1
direct
0.0000 0.0000 0.5000
0.5000 0.0000 0.0000
0.5000 0.5000 0.5000
0.0000 0.5000 0.0000
0.0000 0.0000 0.0000
```

Computed properties:
SG	No. 123
theoretical density	6.16	g cm⁻³
formation energy from raw total energies	205	kJ/mol of formula units